No. 1
This record from the Alexandria database describes a geometry-optimized Ba3SmSi2O8 structure. The functional is PBE-GGA.

## Properties
Raw formation energy ... -2.87 eV/atom
Magnetization ... 0.00 μB/f.u.
V ... 16.3 Å³ per atom
DOS(E_F) ... 3.3 states/eV/cell
Final energy ... -7.226 eV per atom

Unit cell a=5.8014 b=5.8014 c=7.8170 alpha=90.00 beta=90.00 gamma=120.00
With the nearest neighbours (Å) after each atom.
Space group P-3m1 (No. 164)
Inequivalent atoms, fractional coordinates:
Ba 0.0000 0.0000 0.0000 x1  6 O 2.96
Ba 0.3333 0.6667 0.6906 x2  1 O 2.53
Sm 0.0000 0.0000 0.5000 x1  6 O 2.38
Si 0.3333 0.6667 0.2213 x2  4 O 1.62-1.67
O 0.1789 0.3578 0.3002 x6  1 Si 1.67
O 0.3333 0.6667 0.0146 x2  1 Si 1.62

=====

No. 2
This record from the Alexandria database describes a geometry-optimized BaSi2SnO8 structure. The functional is PBE-GGA.

## Properties
Raw formation energy ... -2.13 eV/atom
Magnetization ... 2.04 μB/f.u.
V ... 15.9 Å³ per atom
DOS(E_F) ... 7.2 states/eV/cell
Final energy ... -6.833 eV per atom

Unit cell a=5.4208 b=5.4208 c=7.5085 alpha=90.00 beta=90.00 gamma=120.00
With the nearest neighbours (Å) after each atom.
Space group P-3 (No. 147)
Inequivalent atoms, fractional coordinates:
Ba 0.0000 0.0000 0.0000 x1  12 O 2.92-3.15
Si 0.3333 0.6667 0.7304 x2  4 O 1.62-1.66
Sn 0.0000 0.0000 0.5000 x1  6 O 2.05
O 0.1365 0.3353 0.6724 x6  1 Si 1.62
O 0.3333 0.6667 0.9510 x2  1 Si 1.66